[1]
SmZn4Pt after structural relaxation. Source: Alexandria, functional PBE.

Cell: 4.738 6.878 7.263 Å, 90.00 109.04 90.00°
Element x y z (fractional)
Sm (0.385, 0.750, 0.770)
Sm (0.615, 0.250, 0.230)
Zn (0.226, 0.422, 0.451)
Zn (0.774, 0.578, 0.549)
Zn (0.226, 0.078, 0.451)
Zn (0.774, 0.922, 0.549)
Zn (0.595, 0.750, 0.189)
Zn (0.405, 0.250, 0.811)
Zn (0.000, 0.500, 0.000)
Zn (0.000, 0.000, 0.000)
Pt (0.146, 0.750, 0.291)
Pt (0.854, 0.250, 0.709)

Summary:
DOS at the Fermi energy in states/eV per cell: 4.0
Spin magnetization in μB/cell: 0.00
Distance to the lowest polymorph of the same formula in meV/atom: 39
SG: Cmcm

[2]
Nd2Pu3Ru2 after structural relaxation. Source: Alexandria, functional PBE.

Cell: 3.938 6.070 8.480 Å, 111.58 89.99 108.90°
Element x y z (fractional)
Nd (0.840, 0.680, 0.195)
Nd (0.160, 0.320, 0.805)
Pu (0.500, 0.000, 0.000)
Pu (0.621, 0.243, 0.437)
Pu (0.379, 0.757, 0.563)
Ru (0.863, 0.728, 0.780)
Ru (0.137, 0.272, 0.220)

Summary:
DOS at the Fermi energy in states/eV per cell: 19.3
Spin magnetization in μB/cell: 16.38
SG: C2/m
Total DFT energy (no corrections) in eV per atom: -10.27

[3]
TcSF2 after structural relaxation. Source: Alexandria, functional PBE.

Cell: 4.944 3.365 5.940 Å, 75.07 65.16 54.89°
Element x y z (fractional)
Tc (0.803, 0.818, 0.441)
S (0.440, 0.612, 0.441)
F (0.764, 0.638, 0.774)
F (0.089, 0.665, 0.108)

Summary:
DOS at the Fermi energy in states/eV per cell: 0.2
Spin magnetization in μB/cell: 1.03
Distance to the lowest polymorph of the same formula in meV/atom: 0
SG: P1
Uncorrected formation energy in eV/f.u.: -4.82

[4]
Sc7Tl2In2 after structural relaxation. Source: Alexandria, functional PBE.

Cell: 6.444 7.495 6.444 Å, 90.01 110.35 89.99°
Element x y z (fractional)
Sc (0.000, 0.292, 0.500)
Sc (0.500, 0.708, 0.000)
Sc (0.000, 0.708, 0.500)
Sc (0.500, 0.292, 0.000)
Sc (0.000, 0.000, 0.000)
Sc (0.500, 0.748, 0.500)
Sc (0.500, 0.252, 0.500)
Tl (0.806, 0.500, 0.806)
Tl (0.194, 0.500, 0.194)
In (0.712, 0.000, 0.288)
In (0.288, 0.000, 0.712)

Summary:
DOS at the Fermi energy in states/eV per cell: 12.9
Spin magnetization in μB/cell: 0.00
SG: Cmmm
Total DFT energy (no corrections) in eV per atom: -4.93

[5]
LiNbPd4 after structural relaxation. Source: Alexandria, functional PBE.

Cell: 2.791 4.886 7.369 Å, 97.26 79.08 73.40°
Element x y z (fractional)
Li (0.500, 0.500, 0.500)
Nb (0.000, 0.000, 0.000)
Pd (0.835, 0.497, 0.832)
Pd (0.329, 0.006, 0.336)
Pd (0.165, 0.503, 0.168)
Pd (0.671, 0.994, 0.664)

Summary:
DOS at the Fermi energy in states/eV per cell: 3.7
Spin magnetization in μB/cell: 0.00
Distance to the lowest polymorph of the same formula in meV/atom: 0
SG: C2/m

[6]
Sc3Zn11 after structural relaxation. Source: Alexandria, functional PBE.

Cell: 4.284 7.847 7.847 Å, 68.53 74.16 74.16°
Element x y z (fractional)
Sc (0.000, 0.000, 0.000)
Sc (0.714, 0.286, 0.286)
Sc (0.286, 0.714, 0.714)
Zn (0.000, 0.500, 0.500)
Zn (0.500, 0.330, 0.670)
Zn (0.500, 0.670, 0.330)
Zn (0.653, 0.984, 0.710)
Zn (0.347, 0.016, 0.290)
Zn (0.653, 0.710, 0.984)
Zn (0.347, 0.290, 0.016)
Zn (0.859, 0.859, 0.422)
Zn (0.141, 0.141, 0.578)
Zn (0.859, 0.422, 0.859)
Zn (0.141, 0.578, 0.141)

Summary:
DOS at the Fermi energy in states/eV per cell: 8.3
Spin magnetization in μB/cell: 0.00
SG: Immm
Total DFT energy (no corrections) in eV per atom: -2.62